GaHO2 | the Alexandria database | PBE | relaxed; total moment = 0.00 μB/f.u.; space-group type = Fdd2 (43); electronic total energy = -5.59 eV/atom
1.0
7.765 0.148 -0.175
3.060 4.633 -1.214
4.705 -0.253 4.597
H Ga O
4 4 8
direct
0.386 0.659 0.554 H
0.901 0.554 0.659 H
0.446 0.099 0.614 H
0.341 0.614 0.099 H
0.811 0.713 0.106 Ga
0.894 0.130 0.189 Ga
0.870 0.106 0.713 Ga
0.287 0.189 0.130 Ga
0.038 0.905 0.864 O
0.136 0.306 0.962 O
0.583 0.544 0.338 O
0.035 0.338 0.544 O
0.662 0.965 0.417 O
0.095 0.962 0.306 O
0.694 0.864 0.905 O
0.456 0.417 0.965 O

GaHO2 | the Alexandria database | PBE | relaxed; total moment = 0.00 μB/f.u.; space-group type = P1 (1); electronic total energy = -5.55 eV/atom
1.0
0.237 -1.257 -2.689
-1.345 -4.190 3.095
-5.282 0.566 -1.314
H O Ga
2 4 2
direct
0.073 0.036 0.007 H
0.288 0.750 0.733 H
0.993 0.735 0.120 O
0.136 0.191 0.891 O
0.518 0.826 0.596 O
0.255 0.317 0.447 O
0.426 0.640 0.292 Ga
0.674 0.187 0.653 Ga

Ga2H6O | the Alexandria database | PBE | relaxed; total moment = 0.00 μB/f.u.; space-group type = Fm-3m (225); energy relative to the lowest polymorph listed for this composition = 1.0095 eV/atom; electronic total energy = -2.68 eV/atom
1.0
3.985 0.000 2.301
1.328 3.757 2.301
0.000 0.000 4.601
Ga H O
2 6 1
direct
0.250 0.250 0.250 Ga
0.750 0.750 0.750 Ga
0.239 0.761 0.239 H
0.239 0.239 0.761 H
0.761 0.239 0.239 H
0.761 0.761 0.239 H
0.239 0.761 0.761 H
0.761 0.239 0.761 H
0.000 0.000 0.000 O

GaHO3 | the Alexandria database | PBE | relaxed; total moment = 2.00 μB/f.u.; space-group type = R-3c (167); electronic total energy = -4.81 eV/atom
1.0
-2.973 3.459 -0.247
-3.267 0.434 3.163
0.845 4.001 3.622
O H Ga
6 2 2
direct
0.750 0.054 0.750 O
0.054 0.446 0.750 O
0.554 0.250 0.250 O
0.446 0.750 0.750 O
0.250 0.946 0.250 O
0.946 0.554 0.250 O
0.250 0.250 0.250 H
0.750 0.750 0.750 H
0.000 0.000 0.000 Ga
0.500 0.500 0.500 Ga

GaHO2 | the Alexandria database | PBE | relaxed; total moment = 0.00 μB/f.u.; space-group type = Fm-3m (225); electronic total energy = -4.18 eV/atom
1.0
0.000 2.490 2.490
2.490 0.000 2.490
2.490 2.490 0.000
O Ga H
2 1 1
direct
0.750 0.750 0.750 O
0.250 0.250 0.250 O
0.500 0.500 0.500 Ga
0.000 0.000 0.000 H

Ga2HO2 | the Alexandria database | PBE | relaxed; total moment = 0.00 μB/f.u.; space-group type = R-3m (166); electronic total energy = -4.71 eV/atom
1.0
-1.239 2.697 0.810
-1.462 0.274 2.692
5.556 2.964 4.473
Ga O H
2 2 1
direct
0.395 0.395 0.814 Ga
0.605 0.605 0.186 Ga
0.238 0.238 0.285 O
0.762 0.762 0.715 O
0.000 0.000 0.000 H

GaHO2 | the Alexandria database | PBE | relaxed; total moment = 0.00 μB/f.u.; space-group type = Pmc2_1 (26); electronic total energy = -5.53 eV/atom
1.0
3.222 0.000 0.000
0.000 4.842 0.000
0.000 0.000 5.487
H Ga O
2 2 4
direct
0.500 0.552 0.747 H
0.500 0.448 0.247 H
0.000 0.836 0.341 Ga
0.000 0.164 0.841 Ga
0.500 0.652 0.238 O
0.000 0.840 0.674 O
0.000 0.160 0.174 O
0.500 0.348 0.738 O

GaHO2 | the Alexandria database | PBE | relaxed; total moment = 0.00 μB/f.u.; space-group type = R-3m (166); electronic total energy = -5.62 eV/atom
1.0
1.724 0.000 4.427
-0.862 1.493 4.427
-0.862 -1.493 4.427
O H Ga
2 1 1
direct
0.909 0.909 0.909 O
0.091 0.091 0.091 O
0.000 0.000 0.000 H
0.500 0.500 0.500 Ga

Ga2HO | the Alexandria database | PBE | relaxed; total moment = 0.00 μB/f.u.; space-group type = Fm-3m (225); energy relative to the lowest polymorph listed for this composition = 0.4358 eV/atom; electronic total energy = -3.49 eV/atom
1.0
0.000 2.878 2.878
2.878 0.000 2.878
2.878 2.878 0.000
Ga H O
2 1 1
direct
0.250 0.250 0.250 Ga
0.750 0.750 0.750 Ga
0.000 0.000 0.000 H
0.500 0.500 0.500 O

GaHO2 | the Alexandria database | PBE | relaxed; total moment = 0.00 μB/f.u.; space-group type = Pnma (62); electronic total energy = -5.64 eV/atom
1.0
-3.532 -0.823 -2.753
2.505 -9.609 -0.340
-1.743 -0.539 2.398
Ga O H
4 8 4
direct
0.557 0.644 0.750 Ga
0.443 0.356 0.250 Ga
0.057 0.856 0.250 Ga
0.943 0.144 0.750 Ga
0.311 0.808 0.750 O
0.189 0.308 0.750 O
0.193 0.058 0.250 O
0.811 0.692 0.250 O
0.307 0.558 0.250 O
0.807 0.942 0.750 O
0.693 0.442 0.750 O
0.689 0.192 0.250 O
0.402 0.094 0.250 H
0.598 0.906 0.750 H
0.098 0.594 0.250 H
0.902 0.406 0.750 H

GaHO2 | the Alexandria database | PBE | relaxed; total moment = 0.00 μB/f.u.; space-group type = I-42d (122); electronic total energy = -5.07 eV/atom
1.0
-4.019 -0.078 -0.598
0.563 -1.929 -3.532
-1.954 -4.741 -0.059
Ga O H
2 4 2
direct
0.000 0.000 0.000 Ga
0.750 0.250 0.500 Ga
0.160 0.625 0.250 O
0.875 0.840 0.750 O
0.590 0.125 0.250 O
0.375 0.410 0.750 O
0.250 0.750 0.500 H
0.500 0.500 0.000 H

GaH3O | the Alexandria database | PBE | relaxed; total moment = 0.00 μB/f.u.; space-group type = Pm-3m (221); energy relative to the lowest polymorph listed for this composition = 0.0032 eV/atom; electronic total energy = -2.88 eV/atom
1.0
3.375 0.000 0.000
0.000 3.375 0.000
0.000 0.000 3.375
O H Ga
1 3 1
direct
0.000 0.000 0.000 O
0.000 0.500 0.000 H
0.500 0.000 0.000 H
0.000 0.000 0.500 H
0.500 0.500 0.500 Ga